# RhSe2Br PBE optimized geometry
data_RhSe2Br
_chemical_formula_sum 'Rh2 Se4 Br2'
_space_group_name_H-M_alt 'I 4/m m m'
_space_group_IT_number 139
_space_group_name_Hall '-I 4 2'
_cell_length_a 5.4671
_cell_length_b 5.4671
_cell_length_c 5.3771
_cell_angle_alpha 90.00
_cell_angle_beta 90.00
_cell_angle_gamma 90.00
loop_
_atom_site_label
_atom_site_fract_x
_atom_site_fract_y
_atom_site_fract_z
Rh1 0.0000 0.0000 0.0000
Se1 0.0000 0.5000 0.0000
Br1 0.0000 0.0000 0.5000
# Total DFT energy (no corrections) ... -3.687 eV per atom
# Crystal system ... tetragonal
# E_form (uncorrected) ... 311 meV/atom
# DOS(E_F) ... 0.698 states/eV/atom
# Total magnetization ... 0.00 μB/f.u.
# Distance to the lowest polymorph of the same formula ... 623 meV per atom